Here is a relaxed structure of TlTe2Os from the Alexandria database. Energies are from GGA-PBE.

SG = C2/m
ΔE_f (raw) = 3.60 eV per formula unit
VASP energy = -4.07 eV per atom
energy above the most stable polymorph in this dataset = 305 kJ/mol of formula units

Unit cell a=7.085 b=7.784 c=3.393 alpha=90.00 beta=97.13 gamma=90.00
Fractional coordinates of all 8 atoms:
Tl: 0.000 0.000 0.000
Tl: 0.500 0.500 0.000
Te: 0.250 0.250 0.500
Te: 0.250 0.750 0.500
Te: 0.750 0.250 0.500
Te: 0.750 0.750 0.500
Os: 0.000 0.500 0.000
Os: 0.500 0.000 0.000



Here is a relaxed structure of Ti2SiRh2 from the Alexandria database. Energies are from GGA-PBE.

SG = P4/mbm
ΔE_f (raw) = -2.96 eV per formula unit
VASP energy = -7.78 eV per atom

Unit cell a=7.150 b=7.150 c=3.001 alpha=90.00 beta=90.00 gamma=90.00
Fractional coordinates of all 10 atoms:
Ti: 0.168 0.332 0.000
Ti: 0.332 0.832 0.000
Ti: 0.668 0.168 0.000
Ti: 0.832 0.668 0.000
Si: 0.000 0.000 0.500
Si: 0.500 0.500 0.500
Rh: 0.134 0.634 0.500
Rh: 0.366 0.134 0.500
Rh: 0.634 0.866 0.500
Rh: 0.866 0.366 0.500



Here is a relaxed structure of NpZn2Ga2Cu2 from the Alexandria database. Energies are from GGA-PBE.

SG = R-3m
ΔE_f = -0.2 eV/f.u.
VASP energy = -4.28 eV per atom

Unit cell a=8.192 b=8.192 c=8.192 alpha=29.54 beta=29.54 gamma=29.54
Fractional coordinates of all 7 atoms:
Np: 0.000 0.000 0.000
Zn: 0.139 0.139 0.139
Zn: 0.861 0.861 0.861
Ga: 0.257 0.257 0.257
Ga: 0.743 0.743 0.743
Cu: 0.435 0.435 0.435
Cu: 0.565 0.565 0.565



Here is a relaxed structure of Nd4PtSeS2 from the Alexandria database. Energies are from GGA-PBE.

SG = P2/m
ΔE_f (raw) = -13.80 eV per formula unit
VASP energy = -6.33 eV per atom

Unit cell a=7.241 b=4.094 c=7.263 alpha=90.00 beta=109.09 gamma=90.00
Fractional coordinates of all 8 atoms:
Nd: 0.238 0.000 0.244
Nd: 0.248 0.500 0.755
Nd: 0.752 0.500 0.245
Nd: 0.762 0.000 0.756
Pt: 0.500 0.000 0.000
Se: 0.500 0.500 0.500
S: 0.000 0.000 0.500
S: 0.000 0.500 0.000